Entry 1:
DFT (PBE) results for a relaxed structure of PaFe6Ge6.

Results
Total magnetization in μB/f.u.: 11.07
Space-group type: Immm (71)
Total energy in eV/atom: -6.99
DFT formation energy in eV/atom: -0.22

a b c (Å): 6.5544 6.5544 6.5544
angles (deg): 133.84 102.64 95.09
Fractional positions:
Pa: 0.0000 0.0000 0.0000
Fe: 0.0000 0.0000 0.5000
Fe: 0.0000 0.5000 0.0000
Fe: 0.2507 0.5000 0.7507
Fe: 0.5000 0.0000 0.0000
Fe: 0.5000 0.5000 0.5000
Fe: 0.7493 0.5000 0.2493
Ge: 0.1716 0.6716 0.5000
Ge: 0.3390 0.3390 0.0000
Ge: 0.3490 0.0000 0.3490
Ge: 0.6510 0.0000 0.6510
Ge: 0.6610 0.6610 0.0000
Ge: 0.8284 0.3284 0.5000

***

Entry 2:
DFT (PBE) results for a relaxed structure of PaTiCr.

Results
Total magnetization in μB/f.u.: 0.00
Space-group type: I4mm (107)
Distance to the lowest polymorph of the same formula in meV per atom: 108.5
Total energy in eV/atom: -8.82
DFT formation energy in eV/atom: 0.19

a b c (Å): 5.4612 5.4612 5.4612
angles (deg): 145.14 145.14 50.13
Fractional positions:
Pa: 0.0000 0.0000 0.0000
Ti: 0.6945 0.6945 0.0000
Cr: 0.3595 0.3595 0.0000